1.
The following is a DFT calculation (PBE) of an optimized crystal structure of NbReB.

The structure belongs to space group F-43m (No. 216); the cell edges are 5.7878, 5.7878 and 5.7878 Å and the angles 90.00°, 90.00° and 90.00°. The asymmetric unit holds Nb at (0.0000, 0.0000, 0.0000), Re at (0.2500, 0.2500, 0.7500) and B at (0.0000, 0.0000, 0.5000).

***

2.
The following is a DFT calculation (PBE) of an optimized crystal structure of CuHgBiPd.

The structure belongs to space group F-43m (No. 216); the cell edges are 6.8529, 6.8529 and 6.8529 Å and the angles 90.00°, 90.00° and 90.00°. The asymmetric unit holds Cu at (0.0000, 0.0000, 0.0000), Hg at (0.0000, 0.0000, 0.5000), Bi at (0.2500, 0.2500, 0.7500) and Pd at (0.2500, 0.2500, 0.2500).

***

| no. | total DFT energy (no corrections) (eV/atom) | polymorph energy (0 for the lowest one) (kJ per mole of atoms) | calculated volume (Å³/cell) |
| --- | --- | --- | --- |
| 1 | -8.67 | 0.00 | 193.9 |
| 2 | -3.11 | 12.94 | 321.8 |